A geometry-optimized NpNiSn2 structure, computed with PBE.

abc: 3.2486 3.2486 7.8312
angles: 90.00 90.00 90.00
Space group P4/mmm (No. 123)
One atom of each set of equivalent atoms:
Np: 0.0000 0.0000 0.0000
Ni: 0.0000 0.0000 0.5000
Sn: 0.5000 0.5000 0.3002

Values from the calculation:
The raw total energy is -0.4929 Ry/atom.


A geometry-optimized RbAcIn structure, computed with PBE.

abc: 4.2020 4.2020 16.1866
angles: 90.00 90.00 90.00
Space group I4mm (No. 107)
One atom of each set of equivalent atoms:
Rb: 0.0000 0.0000 0.0000
Ac: 0.0000 0.0000 0.2640
In: 0.0000 0.0000 0.6612

Values from the calculation:
For the energy above the lowest structure with this stoichiometry, the calculation gives 0.0 meV per atom.


A geometry-optimized BiPdPt structure, computed with PBE.

abc: 4.0816 5.0047 6.9026
angles: 76.56 89.85 65.94
Space group P-1 (No. 2)
One atom of each set of equivalent atoms:
Bi: 0.1794 0.1422 0.1694
Pd: 0.0942 0.3101 0.7041
Pt: 0.3741 0.7529 0.5769

Values from the calculation:
For the energy above the lowest structure with this stoichiometry, the calculation gives 9.8 meV per atom.


A geometry-optimized NaLiCaAc structure, computed with PBE.

abc: 8.3269 8.3269 8.3269
angles: 90.00 90.00 90.00
Space group F-43m (No. 216)
One atom of each set of equivalent atoms:
Na: 0.0000 0.0000 0.0000
Li: 0.0000 0.0000 0.5000
Ca: 0.2500 0.2500 0.2500
Ac: 0.2500 0.2500 0.7500

Values from the calculation:
The raw total energy is -0.1601 Ry/atom.


A geometry-optimized ThCuPN structure, computed with PBE.

abc: 4.0486 4.0486 8.2065
angles: 90.00 90.00 90.00
Space group P4/nmm (No. 129, origin choice 2)
One atom of each set of equivalent atoms:
Th: 0.2500 0.2500 0.1434
Cu: 0.2500 0.7500 0.5000
P: 0.2500 0.2500 0.6485
N: 0.2500 0.7500 0.0000

Values from the calculation:
The raw total energy is -0.5413 Ry/atom.


A geometry-optimized InCSCl2 structure, computed with PBE.

abc: 4.6062 4.6062 4.2549
angles: 90.00 90.00 90.00
Space group P4/mmm (No. 123)
One atom of each set of equivalent atoms:
In: 0.0000 0.0000 0.0000
C: 0.5000 0.5000 0.5000
S: 0.5000 0.5000 0.0000
Cl: 0.0000 0.5000 0.5000

Values from the calculation:
For the energy above the lowest structure with this stoichiometry, the calculation gives 0.0 meV per atom.